Below is a geometry-optimized SiRuSe structure, with properties calculated at the PBE-GGA level. Values from VASP.

## Properties
- theoretical density (g/cm³) = 7.30
- density of states at the Fermi level (states/eV/cell) = 2.47
- raw total energy (eV per atom) = -6.07
- total moment (μB/f.u.) = 0.0
- symmetry = P3m1

```
&SYSTEM
  ibrav = 0, nat = 3, ntyp = 3
/
ATOMIC_SPECIES
Si 28.09 Si.upf
Ru 101.07 Ru.upf
Se 78.96 Se.upf
ATOMIC_POSITIONS crystal
Si 0.000 0.000 0.000
Ru 0.667 0.333 0.294
Se 0.333 0.667 0.642
CELL_PARAMETERS angstrom
3.192 0.000 0.000
-1.596 2.764 0.000
0.000 0.000 5.369
```